Entry from Alexandria via LeMat-Bulk: a geometry-optimized Rb2YMgCl6 structure (GGA-PBE).

It has space group C2/m (No. 12), with a = 12.292 Å, b = 7.633 Å, c = 7.239 Å, α = 90.00°, β = 121.40° and γ = 90.00°. Symmetry generates all atoms from Rb at (0.245, 0.000, 0.253), Y at (0.000, 0.000, 0.500), Mg at (0.000, 0.500, 0.000), Cl at (0.007, 0.266, 0.760) and Cl at (0.240, 0.500, 0.227).

Its total energy is -3.97 eV/atom. The total magnetization is 0.10 μB per atom. Its uncorrected formation energy is -18.6 eV per formula unit. The value obtained for the density of states at the Fermi level is 3.24 states/eV/cell.

---

Entry from Alexandria via LeMat-Bulk: a geometry-optimized RbYMgCl2 structure (GGA-PBE).

It has space group P4/mmm (No. 123), with a = 5.390 Å, b = 5.390 Å, c = 6.585 Å, α = 90.00°, β = 90.00° and γ = 90.00°. Symmetry generates all atoms from Rb at (0.000, 0.000, 0.000), Y at (0.500, 0.500, 0.500), Mg at (0.500, 0.500, 0.000) and Cl at (0.000, 0.500, 0.500).

Its total energy is -3.50 eV/atom. The total magnetization is 0.16 μB per atom. Its uncorrected formation energy is -4.8 eV per formula unit. The value obtained for the density of states at the Fermi level is 3.82 states/eV/cell.

---

Entry from Alexandria via LeMat-Bulk: a geometry-optimized RbMgZnCl6 structure (GGA-PBE).

It has space group C2 (No. 5), with a = 6.411 Å, b = 11.121 Å, c = 7.523 Å, α = 90.00°, β = 90.04° and γ = 90.00°. Symmetry generates all atoms from Rb at (0.000, 0.000, 0.000), Mg at (0.000, 0.333, 0.500), Zn at (0.000, 0.666, 0.500), Cl at (0.124, 0.502, 0.307), Cl at (0.185, 0.811, 0.306) and Cl at (0.191, 0.187, 0.307).

Its total energy is -2.98 eV/atom. The total magnetization is 0.12 μB per atom. Its uncorrected formation energy is -11.9 eV per formula unit. The value obtained for the density of states at the Fermi level is 22.51 states/eV/cell.